Run A
## Lu2AgPd (PBE)

Data for Lu2AgPd after structural relaxation.

The structure in CIF format:
```
data_Lu2AgPd
_symmetry_space_group_name_H-M 'F m -3 m'
_symmetry_Int_Tables_number 225
_symmetry_space_group_name_Hall '-F 4 2 3'
_cell_length_a 6.993
_cell_length_b 6.993
_cell_length_c 6.993
_cell_angle_alpha 90.00
_cell_angle_beta 90.00
_cell_angle_gamma 90.00
loop_
_atom_site_label
_atom_site_fract_x
_atom_site_fract_y
_atom_site_fract_z
Lu1 0.250 0.250 0.250
Ag1 0.000 0.000 0.000
Pd1 0.000 0.000 0.500
```

Run B
## Lu2AgPd (PBE)

Data for Lu2AgPd after structural relaxation.

The structure in CIF format:
```
data_Lu2AgPd
_symmetry_space_group_name_H-M 'P 4/m m m'
_symmetry_Int_Tables_number 123
_symmetry_space_group_name_Hall '-P 4 2'
_cell_length_a 3.486
_cell_length_b 3.486
_cell_length_c 7.066
_cell_angle_alpha 90.00
_cell_angle_beta 90.00
_cell_angle_gamma 90.00
loop_
_atom_site_label
_atom_site_fract_x
_atom_site_fract_y
_atom_site_fract_z
Lu1 0.000 0.000 0.240
Ag1 0.500 0.500 0.500
Pd1 0.500 0.500 0.000
```

Energetically preferred structure: run B | next structure: +1.9 kJ/mol of atoms